Density functional theory data (PBE) for a relaxed structure of CaTc3I.

Output
E_form (uncorrected) = 2.601 eV per atom
theoretical density = 5.71 g cm⁻³
space-group type = Pm-3m, No. 221

```
CaTc3I
1.0
5.118 0.000 0.000
0.000 5.118 0.000
0.000 0.000 5.118
Ca Tc I
1 3 1
direct
0.000 0.000 0.000
0.000 0.000 0.500
0.000 0.500 0.000
0.500 0.000 0.000
0.500 0.500 0.500
```